Tm4Sn3Hg | PBE | optimized geometry

a b c (Å): 4.3060 4.3764 11.2986
angles (deg): 90.00 90.00 90.00
Space group Pmm2 (No. 25)
Symmetry-distinct sites (fractional):
1 Tm 0.0000 0.0000 0.0000
2 Tm 0.0000 0.5000 0.4978
3 Tm 0.5000 0.0000 0.2692
4 Tm 0.5000 0.5000 0.7708
5 Sn 0.0000 0.0000 0.7284
6 Sn 0.0000 0.5000 0.2220
7 Sn 0.5000 0.0000 0.5384
8 Hg 0.5000 0.5000 0.0399

The total magnetization comes out at 0.000 μB/cell. The mass density is 9.6 g/cm3. The formation energy is -0.60 eV per atom. As for the crystal system: orthorhombic. The calculation puts the calculated total energy at -35.0 eV/cell.

Tm8Sn2Hg | PBE | optimized geometry

a b c (Å): 19.1785 4.9939 6.7003
angles (deg): 90.00 104.04 90.00
Space group C2/m (No. 12)
Symmetry-distinct sites (fractional):
1 Tm 0.0214 0.0000 0.2698
2 Tm 0.0931 0.5000 0.9752
3 Tm 0.1553 0.5000 0.5017
4 Tm 0.2160 0.0000 0.8236
5 Sn 0.1818 0.0000 0.2599
6 Hg 0.0000 0.5000 0.5000

The total magnetization comes out at 0.000 μB/cell. The mass density is 9.5 g/cm3. The formation energy is -0.31 eV per atom. As for the crystal system: monoclinic. The calculation puts the calculated total energy at -95.0 eV/cell.

Tm4SnHg3 | PBE | optimized geometry

a b c (Å): 5.2197 5.2197 7.3531
angles (deg): 90.00 90.00 90.00
Space group P4/mmm (No. 123)
Symmetry-distinct sites (fractional):
1 Tm 0.0000 0.5000 0.2475
2 Sn 0.0000 0.0000 0.5000
3 Hg 0.0000 0.0000 0.0000
4 Hg 0.5000 0.5000 0.0000
5 Hg 0.5000 0.5000 0.5000

The total magnetization comes out at 0.001 μB/cell. The mass density is 11.6 g/cm3. The formation energy is -0.50 eV per atom. As for the crystal system: tetragonal. The calculation puts the calculated total energy at -26.8 eV/cell.

Tm8SnHg2 | PBE | optimized geometry

a b c (Å): 8.7036 14.1743 5.4231
angles (deg): 90.00 109.82 90.00
Space group C2/m (No. 12)
Symmetry-distinct sites (fractional):
1 Tm 0.0000 0.2251 0.0000
2 Tm 0.1032 0.5000 0.8001
3 Tm 0.2103 0.1168 0.6125
4 Sn 0.0000 0.0000 0.0000
5 Hg 0.0000 0.3043 0.5000

The total magnetization comes out at 0.003 μB/cell. The mass density is 9.9 g/cm3. The formation energy is -0.19 eV per atom. As for the crystal system: monoclinic. The calculation puts the calculated total energy at -84.9 eV/cell.

Tm2SnHg2 | PBE | optimized geometry

a b c (Å): 10.0310 4.4236 6.0804
angles (deg): 90.00 92.24 90.00
Space group C2/m (No. 12)
Symmetry-distinct sites (fractional):
1 Tm 0.1952 0.0000 0.2103
2 Sn 0.0000 0.5000 0.0000
3 Hg 0.1061 0.0000 0.6805

The total magnetization comes out at 0.000 μB/cell. The calculation puts the energy relative to the lowest polymorph listed for this composition at 0.53 kcal/mol of atoms. The mass density is 10.6 g/cm3. The formation energy is -0.39 eV per atom. As for the crystal system: monoclinic. The calculation puts the calculated total energy at -31.0 eV/cell.

Tm2SnHg2 | PBE | optimized geometry

a b c (Å): 11.3343 4.4837 10.9973
angles (deg): 90.00 114.21 90.00
Space group C2/m (No. 12)
Symmetry-distinct sites (fractional):
1 Tm 0.0010 0.0000 0.1782
2 Tm 0.1768 0.0000 0.5946
3 Sn 0.2117 0.5000 0.8069
4 Hg 0.0546 0.5000 0.3937
5 Hg 0.1391 0.5000 0.0423

The total magnetization comes out at 0.000 μB/cell. The calculation puts the energy relative to the lowest polymorph listed for this composition at 0.00 kcal/mol of atoms. The mass density is 11.2 g/cm3. The formation energy is -0.41 eV per atom. As for the crystal system: monoclinic. The calculation puts the calculated total energy at -62.5 eV/cell.